# CrCd2In, relaxed, DFT PBE
# Size of the total moment = 4.12 μB per formula unit
# Volume = 85.1 Å³ per cell
# Crystal system = orthorhombic
# Total DFT energy (no corrections) = -3.281 eV/atom
# Formation energy = 26 kJ/mol of atoms
data_CrCd2In
_chemical_formula_sum 'Cr1 Cd2 In1'
_cell_length_a 3.246
_cell_length_b 4.302
_cell_length_c 6.092
_cell_angle_alpha 90.00
_cell_angle_beta 90.00
_cell_angle_gamma 90.00
_space_group_name_H-M_alt 'P m m m'
_space_group_IT_number 47
loop_
_space_group_symop_operation_xyz
'x,y,z'
'-x,-y,-z'
'-x,-y,z'
'x,y,-z'
'x,-y,-z'
'-x,y,z'
'-x,y,-z'
'x,-y,z'
loop_
_atom_site_label
_atom_site_type_symbol
_atom_site_fract_x
_atom_site_fract_y
_atom_site_fract_z
_atom_site_occupancy
Cr1 Cr 0.000 0.000 0.000 1
Cd1 Cd 0.500 0.500 0.236 1
In1 In 0.000 0.000 0.500 1

=====

# CrCd2In, relaxed, DFT PBE
# Size of the total moment = 3.74 μB per formula unit
# Volume = 165.2 Å³ per cell
# Crystal system = tetragonal
# Total DFT energy (no corrections) = -3.307 eV/atom
# Formation energy = 23 kJ/mol of atoms
data_CrCd2In
_chemical_formula_sum 'Cr2 Cd4 In2'
_cell_length_a 4.292
_cell_length_b 4.292
_cell_length_c 8.967
_cell_angle_alpha 90.00
_cell_angle_beta 90.00
_cell_angle_gamma 90.00
_space_group_name_H-M_alt 'I 4/m m m'
_space_group_IT_number 139
_space_group_name_Hall '-I 4 2'
loop_
_atom_site_label
_atom_site_type_symbol
_atom_site_fract_x
_atom_site_fract_y
_atom_site_fract_z
_atom_site_occupancy
Cr1 Cr 0.000 0.000 0.000 1
Cd1 Cd 0.000 0.500 0.250 1
In1 In 0.000 0.000 0.500 1